A relaxed structure of NbFe4Si, computed with PBE.

For the uncorrected formation energy, the calculation gives -0.15 eV per atom. The total magnetization is 12.17 Bohr magnetons per cell. Its density is 7.60 g cm⁻³.

Cell: 3.0693 6.4786 7.5711 Å, 90.00 90.00 90.00°
With the nearest neighbours (Å) after each atom.
Fractional positions:
1 Fe 0.5000 0.3155 0.5381  2 Si 2.31, 3 Fe 2.46-2.57
2 Fe 0.0000 0.0000 0.5000  2 Si 2.36, 8 Fe 2.46-2.57
3 Fe 0.5000 0.6845 0.0381  2 Si 2.31, 3 Fe 2.46-2.57
4 Fe 0.0000 0.0000 0.0000  2 Si 2.36, 8 Fe 2.46-2.57
5 Fe 0.5000 0.0533 0.2500  2 Si 2.34, 4 Fe 2.46, 2 Nb 2.61
6 Fe 0.5000 0.3155 0.9619  2 Si 2.31, 3 Fe 2.46-2.57
7 Fe 0.5000 0.9467 0.7500  2 Si 2.34, 4 Fe 2.46, 2 Nb 2.61
8 Fe 0.5000 0.6845 0.4619  2 Si 2.31, 3 Fe 2.46-2.57
9 Si 0.0000 0.2185 0.7500  8 Fe 2.31-2.36
10 Si 0.0000 0.7815 0.2500  8 Fe 2.31-2.36
11 Nb 0.0000 0.3791 0.2500  1 Si 2.61, 6 Fe 2.61-2.70
12 Nb 0.0000 0.6209 0.7500  1 Si 2.61, 6 Fe 2.61-2.70